(1)
First-principles (PBE) data for an optimized crystal structure of AsBr2N, as listed in Alexandria via LeMat-Bulk.

```
AsBr2N
1.0
0.000 3.424 3.424
3.424 0.000 3.424
3.424 3.424 0.000
As Br N
1 2 1
Direct
0.000 0.000 0.000
0.250 0.250 0.250
0.750 0.750 0.750
0.500 0.500 0.500
```

Its space group is No. 225. The calculation puts the density of states at the Fermi level at 1.908 states/eV/cell. The calculation puts the total magnetic moment at 2.1 μB/f.u. As for the uncorrected formation energy: 1.44 eV/atom.

(2)
First-principles (PBE) data for an optimized crystal structure of AsBr3N, as listed in Alexandria via LeMat-Bulk.

```
AsBr3N
1.0
4.693 0.000 0.000
0.000 4.693 0.000
0.000 0.000 4.693
As Br N
1 3 1
Direct
0.000 0.000 0.000
0.000 0.500 0.500
0.500 0.000 0.500
0.500 0.500 0.000
0.500 0.500 0.500
```

Its space group is No. 221. The calculation puts the density of states at the Fermi level at 3.334 states/eV/cell. The energy above the most stable polymorph in this dataset comes out at 0.500 eV/atom. The calculation puts the total magnetic moment at 0.0 μB/f.u. As for the uncorrected formation energy: 1.17 eV/atom.

(3)
First-principles (PBE) data for an optimized crystal structure of AsBr2N, as listed in Alexandria via LeMat-Bulk.

```
AsBr2N
1.0
7.378 -1.886 0.000
7.378 1.886 0.000
-7.051 0.000 9.827
As Br N
2 4 2
Direct
0.111 0.111 0.039
0.889 0.889 0.961
0.310 0.310 0.769
0.417 0.417 0.135
0.583 0.583 0.865
0.690 0.690 0.231
0.379 0.379 0.518
0.621 0.621 0.482
```

Its space group is No. 12. The calculation puts the total magnetic moment at 3.0 μB/f.u. As for the uncorrected formation energy: 1.08 eV/atom.

(4)
First-principles (PBE) data for an optimized crystal structure of AsBr3N, as listed in Alexandria via LeMat-Bulk.

```
AsBr3N
1.0
5.293 0.000 0.000
0.000 5.293 0.000
0.000 0.000 5.293
As Br N
1 3 1
Direct
0.000 0.000 0.000
0.000 0.000 0.500
0.000 0.500 0.000
0.500 0.000 0.000
0.500 0.500 0.500
```

Its space group is No. 221. The calculation puts the density of states at the Fermi level at 0.000 states/eV/cell. The energy above the most stable polymorph in this dataset comes out at 0.172 eV/atom. The calculation puts the total magnetic moment at 3.0 μB/f.u. As for the uncorrected formation energy: 0.85 eV/atom.

(5)
First-principles (PBE) data for an optimized crystal structure of AsBr2N, as listed in Alexandria via LeMat-Bulk.

```
AsBr2N
1.0
-3.251 3.251 4.945
3.251 -3.251 4.945
3.251 3.251 -4.945
As Br N
2 4 2
Direct
0.375 0.625 0.750
0.625 0.375 0.250
0.000 0.000 0.000
0.000 0.000 0.500
0.000 0.500 0.000
0.500 0.000 0.500
0.125 0.875 0.250
0.875 0.125 0.750
```

Its space group is No. 141. The calculation puts the density of states at the Fermi level at 8.986 states/eV/cell. The calculation puts the total magnetic moment at 0.0 μB/f.u. As for the uncorrected formation energy: 1.46 eV/atom.

(6)
First-principles (PBE) data for an optimized crystal structure of AsBr3N, as listed in Alexandria via LeMat-Bulk.

```
AsBr3N
1.0
7.202 0.000 0.000
3.562 6.333 0.000
0.379 2.170 8.441
As Br N
2 6 2
Direct
0.174 0.145 0.069
0.826 0.855 0.931
0.104 0.902 0.798
0.189 0.389 0.205
0.478 0.812 0.208
0.522 0.188 0.792
0.811 0.611 0.795
0.896 0.098 0.202
0.201 0.601 0.502
0.799 0.399 0.498
```

Its space group is No. 2. The calculation puts the density of states at the Fermi level at 0.000 states/eV/cell. The energy above the most stable polymorph in this dataset comes out at 0.000 eV/atom. The calculation puts the total magnetic moment at 3.0 μB/f.u. As for the uncorrected formation energy: 0.68 eV/atom.

(7)
First-principles (PBE) data for an optimized crystal structure of AsBr2N, as listed in Alexandria via LeMat-Bulk.

```
AsBr2N
1.0
1.820 1.051 8.156
-1.820 1.051 8.156
0.000 -2.101 8.156
As Br N
1 2 1
Direct
0.000 0.000 0.000
0.416 0.416 0.416
0.584 0.584 0.584
0.500 0.500 0.500
```

Its space group is No. 166. The calculation puts the density of states at the Fermi level at 2.160 states/eV/cell. The calculation puts the total magnetic moment at 1.2 μB/f.u. As for the uncorrected formation energy: 1.33 eV/atom.

(8)
First-principles (PBE) data for an optimized crystal structure of NaAsBrN2, as listed in Alexandria via LeMat-Bulk.

```
NaAsBrN2
1.0
4.206 0.000 0.000
0.000 4.206 0.000
0.000 0.000 5.068
Na As Br N
1 1 1 2
Direct
0.000 0.000 0.000
0.500 0.500 0.000
0.000 0.000 0.500
0.000 0.500 0.500
0.500 0.000 0.500
```

Its space group is No. 123. The calculation puts the density of states at the Fermi level at 3.344 states/eV/cell. The calculation puts the total magnetic moment at 0.7 μB/f.u. As for the uncorrected formation energy: 1.97 eV/atom.

Number 1: VASP energy -10.553 eV for the cell shown. Number 2: VASP energy -12.120 eV for the cell shown. Number 3: VASP energy -23.969 eV for the cell shown. Number 4: VASP energy -13.758 eV for the cell shown. Number 5: VASP energy -20.945 eV for the cell shown. Number 6: VASP energy -29.236 eV for the cell shown. Number 7: VASP energy -10.994 eV for the cell shown. Number 8: VASP energy -14.425 eV for the cell shown.